# 1
Computed, not measured: a relaxed YErMg3 crystal at the PBE level of DFT.

Geometry as POSCAR:
```
YErMg3
1.0
6.1949 -8.1346 0.0000
6.1949 8.1346 0.0000
-0.7942 0.0000 5.3806
Y Er Mg
4 4 12
Direct
0.1232 0.2920 0.1278 Y
0.2920 0.1232 0.6278 Y
0.7080 0.8768 0.3722 Y
0.8768 0.7080 0.8722 Y
0.2569 0.7431 0.7500 Er
0.4199 0.5801 0.2500 Er
0.5801 0.4199 0.7500 Er
0.7431 0.2569 0.2500 Er
0.0209 0.8543 0.4538 Mg
0.0632 0.5753 0.2652 Mg
0.1457 0.9791 0.0462 Mg
0.2591 0.4322 0.6781 Mg
0.4247 0.9368 0.2348 Mg
0.4322 0.2591 0.1781 Mg
0.5678 0.7409 0.8219 Mg
0.5753 0.0632 0.7652 Mg
0.7409 0.5678 0.3219 Mg
0.8543 0.0209 0.9538 Mg
0.9368 0.4247 0.7348 Mg
0.9791 0.1457 0.5462 Mg
```

# 2
Computed, not measured: a relaxed Y3ErMg2 crystal at the PBE level of DFT.

Geometry as POSCAR:
```
Y3ErMg2
1.0
3.6686 0.0000 0.0000
0.0000 3.6686 0.0000
0.0000 0.0000 12.9188
Y Er Mg
3 1 2
Direct
0.0000 0.0000 0.0000 Y
0.0000 0.0000 0.3131 Y
0.0000 0.0000 0.6869 Y
0.5000 0.5000 0.5000 Er
0.5000 0.5000 0.1546 Mg
0.5000 0.5000 0.8454 Mg
```

# 3
Computed, not measured: a relaxed Y3Er2Mg2 crystal at the PBE level of DFT.

Geometry as POSCAR:
```
Y3Er2Mg2
1.0
2.6123 -11.4681 0.0000
2.6123 11.4681 0.0000
0.0000 0.0000 3.4729
Y Er Mg
3 2 2
Direct
0.0000 0.0000 0.0000 Y
0.1503 0.8497 0.0000 Y
0.8497 0.1503 0.0000 Y
0.2880 0.7120 0.5000 Er
0.7120 0.2880 0.5000 Er
0.4307 0.5693 0.5000 Mg
0.5693 0.4307 0.5000 Mg
```

# 4
Computed, not measured: a relaxed YEr2Mg crystal at the PBE level of DFT.

Geometry as POSCAR:
```
YEr2Mg
1.0
3.5714 0.0000 0.0000
0.0000 3.5714 0.0000
0.0000 0.0000 9.1965
Y Er Mg
1 2 1
Direct
0.0000 0.0000 0.0000 Y
0.5000 0.5000 0.2666 Er
0.5000 0.5000 0.7334 Er
0.0000 0.0000 0.5000 Mg
```

# 5
Computed, not measured: a relaxed Y3ErMg4 crystal at the PBE level of DFT.

Geometry as POSCAR:
```
Y3ErMg4
1.0
3.7919 0.0000 0.0000
0.0000 3.7919 0.0000
0.0000 0.0000 15.1853
Y Er Mg
3 1 4
Direct
0.0000 0.0000 0.0000 Y
0.0000 0.0000 0.2515 Y
0.0000 0.0000 0.7485 Y
0.0000 0.0000 0.5000 Er
0.5000 0.5000 0.1256 Mg
0.5000 0.5000 0.3771 Mg
0.5000 0.5000 0.6229 Mg
0.5000 0.5000 0.8744 Mg
```

# 6
Computed, not measured: a relaxed Y8Er2Mg crystal at the PBE level of DFT.

Geometry as POSCAR:
```
Y8Er2Mg
1.0
9.3326 -3.4376 0.0000
9.3326 3.4376 0.0000
-0.2116 0.0000 5.6566
Y Er Mg
8 2 1
Direct
0.0493 0.0493 0.2341 Y
0.1055 0.6353 0.2590 Y
0.3189 0.3189 0.7651 Y
0.3647 0.8945 0.7410 Y
0.6353 0.1055 0.2590 Y
0.6811 0.6811 0.2349 Y
0.8945 0.3647 0.7410 Y
0.9507 0.9507 0.7659 Y
0.2180 0.2180 0.2553 Er
0.7820 0.7820 0.7447 Er
0.5000 0.5000 0.0000 Mg
```

# 7
Computed, not measured: a relaxed Y3ErMg8 crystal at the PBE level of DFT.

Geometry as POSCAR:
```
Y3ErMg8
1.0
3.0265 1.7474 9.8034
-3.0265 1.7474 9.8034
0.0000 -3.4947 9.8034
Y Er Mg
3 1 8
Direct
0.0000 0.0000 0.0000 Y
0.1251 0.1251 0.1251 Y
0.5011 0.5011 0.5011 Y
0.6254 0.6254 0.6254 Er
0.0630 0.0630 0.5631 Mg
0.0630 0.5631 0.0630 Mg
0.0627 0.5628 0.5628 Mg
0.3129 0.3129 0.3129 Mg
0.5631 0.0630 0.0630 Mg
0.5628 0.0627 0.5628 Mg
0.5628 0.5628 0.0627 Mg
0.8129 0.8129 0.8129 Mg
```

# 8
Computed, not measured: a relaxed Y6Er12Mg crystal at the PBE level of DFT.

Geometry as POSCAR:
```
Y6Er12Mg
1.0
6.0991 3.5213 4.6689
-6.0991 3.5213 4.6689
0.0000 -7.0426 4.6689
Y Er Mg
6 12 1
Direct
0.2257 0.3820 0.7623 Y
0.2377 0.7743 0.6180 Y
0.3820 0.7623 0.2257 Y
0.6180 0.2377 0.7743 Y
0.7623 0.2257 0.3820 Y
0.7743 0.6180 0.2377 Y
0.0277 0.9652 0.2903 Er
0.0348 0.7097 0.9723 Er
0.1286 0.4465 0.3568 Er
0.2903 0.0277 0.9652 Er
0.3568 0.1286 0.4465 Er
0.4465 0.3568 0.1286 Er
0.5535 0.6432 0.8714 Er
0.6432 0.8714 0.5535 Er
0.7097 0.9723 0.0348 Er
0.8714 0.5535 0.6432 Er
0.9652 0.2903 0.0277 Er
0.9723 0.0348 0.7097 Er
0.5000 0.5000 0.5000 Mg
```

# 9
Computed, not measured: a relaxed Y4Er5Mg crystal at the PBE level of DFT.

Geometry as POSCAR:
```
Y4Er5Mg
1.0
3.5467 0.0000 0.0000
0.0000 3.5467 0.0000
0.0000 0.0000 24.3075
Y Er Mg
4 5 1
Direct
0.0000 0.0000 0.1030 Y
0.0000 0.0000 0.3094 Y
0.0000 0.0000 0.6906 Y
0.0000 0.0000 0.8970 Y
0.5000 0.5000 0.0000 Er
0.5000 0.5000 0.2061 Er
0.5000 0.5000 0.4106 Er
0.5000 0.5000 0.5894 Er
0.5000 0.5000 0.7939 Er
0.0000 0.0000 0.5000 Mg
```

# 10
Computed, not measured: a relaxed Y2ErMg8 crystal at the PBE level of DFT.

Geometry as POSCAR:
```
Y2ErMg8
1.0
7.9483 -2.5196 0.0000
7.9483 2.5196 0.0000
-2.3633 0.0000 6.9417
Y Er Mg
2 1 8
Direct
0.2222 0.2222 0.1416 Y
0.7778 0.7778 0.8584 Y
0.5000 0.5000 0.5000 Er
0.0257 0.0257 0.2184 Mg
0.1410 0.1410 0.6505 Mg
0.3242 0.3242 0.6064 Mg
0.4114 0.4114 0.0377 Mg
0.5886 0.5886 0.9623 Mg
0.6758 0.6758 0.3936 Mg
0.8590 0.8590 0.3495 Mg
0.9743 0.9743 0.7816 Mg
```

# 11
Computed, not measured: a relaxed YEr2Mg4 crystal at the PBE level of DFT.

Geometry as POSCAR:
```
YEr2Mg4
1.0
-2.6805 2.6805 7.1861
2.6805 -2.6805 7.1861
2.6805 2.6805 -7.1861
Y Er Mg
1 2 4
Direct
0.0000 0.0000 0.0000 Y
0.2500 0.2500 0.0000 Er
0.7500 0.7500 0.0000 Er
0.1184 0.6184 0.5000 Mg
0.3816 0.8816 0.5000 Mg
0.6184 0.1184 0.5000 Mg
0.8816 0.3816 0.5000 Mg
```

# 12
Computed, not measured: a relaxed YEr7Mg4 crystal at the PBE level of DFT.

Geometry as POSCAR:
```
YEr7Mg4
1.0
7.4700 -2.8480 0.0000
7.4700 2.8480 0.0000
-5.0602 0.0000 8.1932
Y Er Mg
1 7 4
Direct
0.0000 0.0000 0.0000 Y
0.0798 0.0798 0.4259 Er
0.2051 0.2051 0.8791 Er
0.2510 0.2510 0.2899 Er
0.5000 0.5000 0.0000 Er
0.7490 0.7490 0.7101 Er
0.7949 0.7949 0.1209 Er
0.9202 0.9202 0.5741 Er
0.3254 0.3254 0.6547 Mg
0.4576 0.4576 0.3010 Mg
0.5424 0.5424 0.6990 Mg
0.6746 0.6746 0.3453 Mg
```

# 13
Computed, not measured: a relaxed Y2Er4Mg crystal at the PBE level of DFT.

Geometry as POSCAR:
```
Y2Er4Mg
1.0
6.1504 0.0000 0.0000
0.0480 6.5878 0.0000
3.0181 0.0261 10.4465
Y Er Mg
4 8 2
Direct
0.0942 0.2436 0.9997 Y
0.3731 0.8184 0.4248 Y
0.6269 0.1816 0.5752 Y
0.9058 0.7564 0.0003 Y
0.0724 0.0365 0.7119 Er
0.2017 0.3204 0.4263 Er
0.2288 0.5386 0.7190 Er
0.3389 0.6145 0.1393 Er
0.6611 0.3855 0.8607 Er
0.7712 0.4614 0.2810 Er
0.7983 0.6796 0.5737 Er
0.9276 0.9635 0.2881 Er
0.4927 0.8910 0.8567 Mg
0.5073 0.1090 0.1433 Mg
```

# 14
Computed, not measured: a relaxed Y3Er2Mg crystal at the PBE level of DFT.

Geometry as POSCAR:
```
Y3Er2Mg
1.0
8.5961 -3.4725 0.0000
8.5961 3.4725 0.0000
-0.1323 0.0000 6.1228
Y Er Mg
6 4 2
Direct
0.1336 0.8664 0.7500 Y
0.2079 0.4583 0.9211 Y
0.4583 0.2079 0.4211 Y
0.5417 0.7921 0.5789 Y
0.7921 0.5417 0.0789 Y
0.8664 0.1336 0.2500 Y
0.0445 0.2889 0.5830 Er
0.2889 0.0445 0.0830 Er
0.7111 0.9555 0.9170 Er
0.9555 0.7111 0.4170 Er
0.3686 0.6314 0.2500 Mg
0.6314 0.3686 0.7500 Mg
```

# 15
Computed, not measured: a relaxed Y2Er3Mg crystal at the PBE level of DFT.

Geometry as POSCAR:
```
Y2Er3Mg
1.0
-1.6685 3.0537 9.4299
1.6685 -3.0537 9.4299
1.6685 3.0537 -9.4299
Y Er Mg
2 3 1
Direct
0.1586 0.1586 0.0000 Y
0.8414 0.8414 0.0000 Y
0.0000 0.5000 0.5000 Er
0.3336 0.3336 0.0000 Er
0.6664 0.6664 0.0000 Er
0.5000 0.5000 0.0000 Mg
```

# 16
Computed, not measured: a relaxed Y8ErMg2 crystal at the PBE level of DFT.

Geometry as POSCAR:
```
Y8ErMg2
1.0
4.4026 -7.7157 0.0000
4.4026 7.7157 0.0000
-2.3794 0.0000 5.1284
Y Er Mg
8 1 2
Direct
0.0961 0.3199 0.6254 Y
0.2135 0.7865 0.0000 Y
0.3199 0.0961 0.6254 Y
0.4024 0.4024 0.2024 Y
0.5976 0.5976 0.7976 Y
0.6801 0.9039 0.3746 Y
0.7865 0.2135 0.0000 Y
0.9039 0.6801 0.3746 Y
0.0000 0.0000 0.0000 Er
0.3064 0.6936 0.5000 Mg
0.6936 0.3064 0.5000 Mg
```

# 17
Computed, not measured: a relaxed YErMg crystal at the PBE level of DFT.

Geometry as POSCAR:
```
YErMg
1.0
3.6650 0.0000 0.0000
0.0000 5.4514 0.0000
-1.8362 0.0000 8.5838
Y Er Mg
2 2 2
Direct
0.0918 0.2500 0.1848 Y
0.9082 0.7500 0.8152 Y
0.2274 0.7500 0.4548 Er
0.7726 0.2500 0.5452 Er
0.4341 0.2500 0.8660 Mg
0.5659 0.7500 0.1340 Mg
```

# 18
Computed, not measured: a relaxed Y2ErMg crystal at the PBE level of DFT.

Geometry as POSCAR:
```
Y2ErMg
1.0
5.4329 0.0000 0.0000
0.0000 5.4329 0.0000
0.0000 0.0000 4.0298
Y Er Mg
2 1 1
Direct
0.0000 0.5000 0.0000 Y
0.5000 0.0000 0.0000 Y
0.0000 0.0000 0.5000 Er
0.5000 0.5000 0.5000 Mg
```

# 19
Computed, not measured: a relaxed Y8Er2Mg crystal at the PBE level of DFT.

Geometry as POSCAR:
```
Y8Er2Mg
1.0
5.4023 0.0000 0.0000
0.0000 6.4801 5.1179
0.0000 -6.4801 5.1179
Y Er Mg
8 2 1
Direct
0.0000 0.0000 0.0000 Y
0.0000 0.3320 0.3320 Y
0.0000 0.4133 0.9194 Y
0.0000 0.9194 0.4133 Y
0.5000 0.3653 0.6391 Y
0.5000 0.6391 0.3653 Y
0.5000 0.6932 0.9668 Y
0.5000 0.9668 0.6932 Y
0.5000 0.0461 0.2860 Er
0.5000 0.2860 0.0461 Er
0.0000 0.6656 0.6656 Mg
```

# 20
Computed, not measured: a relaxed Y7Er2Mg2 crystal at the PBE level of DFT.

Geometry as POSCAR:
```
Y7Er2Mg2
1.0
5.5108 -5.6019 0.0000
5.5108 5.6019 0.0000
-2.5675 0.0000 5.5640
Y Er Mg
7 2 2
Direct
0.0000 0.0000 0.0000 Y
0.0843 0.5758 0.8176 Y
0.4054 0.4054 0.1895 Y
0.4242 0.9157 0.1824 Y
0.5758 0.0843 0.8176 Y
0.5946 0.5946 0.8105 Y
0.9157 0.4242 0.1824 Y
0.1982 0.8018 0.5000 Er
0.8018 0.1982 0.5000 Er
0.2444 0.2444 0.5455 Mg
0.7556 0.7556 0.4545 Mg
```

# 21
Computed, not measured: a relaxed Y5ErMg4 crystal at the PBE level of DFT.

Geometry as POSCAR:
```
Y5ErMg4
1.0
3.7537 0.0000 0.0000
0.0000 3.7537 0.0000
0.0000 0.0000 20.1437
Y Er Mg
5 1 4
Direct
0.0000 0.0000 0.0000 Y
0.0000 0.0000 0.1903 Y
0.0000 0.0000 0.3828 Y
0.0000 0.0000 0.6172 Y
0.0000 0.0000 0.8097 Y
0.5000 0.5000 0.5000 Er
0.5000 0.5000 0.0955 Mg
0.5000 0.5000 0.2859 Mg
0.5000 0.5000 0.7141 Mg
0.5000 0.5000 0.9045 Mg
```

# 22
Computed, not measured: a relaxed YErMg4 crystal at the PBE level of DFT.

Geometry as POSCAR:
```
YErMg4
1.0
6.8052 -1.7246 0.0000
6.8052 1.7246 0.0000
-1.7015 0.0000 6.6007
Y Er Mg
1 1 4
Direct
0.0000 0.0000 0.0000 Y
0.0000 0.0000 0.5000 Er
0.3246 0.3246 0.1634 Mg
0.3252 0.3252 0.6612 Mg
0.6748 0.6748 0.3388 Mg
0.6754 0.6754 0.8366 Mg
```

# 23
Computed, not measured: a relaxed Y2ErMg crystal at the PBE level of DFT.

Geometry as POSCAR:
```
Y2ErMg
1.0
1.7488 1.0097 11.3861
-1.7488 1.0097 11.3861
0.0000 -2.0194 11.3861
Y Er Mg
2 1 1
Direct
0.0000 0.0000 0.0000 Y
0.1650 0.1650 0.1650 Y
0.5826 0.5826 0.5826 Er
0.4159 0.4159 0.4159 Mg
```

no.,calculated formation energy (kJ/mol of formula units)
1,21
2,-31
3,19
4,-8
5,-77
6,147
7,-98
8,285
9,7
10,-44
11,98
12,220
13,4
14,16
15,244
16,142
17,-23
18,14
19,170
20,142
21,-72
22,-28
23,17